Er5Ir3 after structural relaxation. Source: the Alexandria database, functional GGA-PBE.

Cell lengths 10.798, 10.798, 6.325 Å; angles 90.00, 90.00, 90.00 degrees
Fractional coordinates of all 32 atoms:
Er  0.708  0.912  0.379
Er  0.292  0.912  0.879
Er  0.792  0.588  0.621
Er  0.000  0.000  0.500
Er  0.208  0.412  0.621
Er  0.412  0.208  0.879
Er  0.292  0.088  0.379
Er  0.912  0.292  0.621
Er  0.088  0.708  0.621
Er  0.412  0.792  0.379
Er  0.208  0.588  0.121
Er  0.588  0.792  0.879
Er  0.912  0.708  0.121
Er  0.588  0.208  0.379
Er  0.792  0.412  0.121
Er  0.500  0.500  0.500
Er  0.000  0.000  0.000
Er  0.500  0.500  0.000
Er  0.088  0.292  0.121
Er  0.708  0.088  0.879
Ir  0.346  0.346  0.250
Ir  0.000  0.500  0.375
Ir  0.000  0.500  0.875
Ir  0.500  0.000  0.125
Ir  0.500  0.000  0.625
Ir  0.346  0.654  0.750
Ir  0.154  0.846  0.250
Ir  0.846  0.846  0.750
Ir  0.846  0.154  0.250
Ir  0.154  0.154  0.750
Ir  0.654  0.654  0.250
Ir  0.654  0.346  0.750

Symmetry = P4/ncc (130)
ΔE_f = -0.852 eV per atom
Theoretical density = 12.73 g/cm³
Size of the total moment = 0.0 μB/f.u.
Energy above the most stable polymorph in this dataset = 0 meV/atom